Material: Tb2NpSi6
Method: DFT, PBE
State: optimized geometry

The space group is P6/mmm (No. 191) and the conventional cell measures 7.0380, 7.0380 and 3.9207 Å, with angles of 90.00, 90.00 and 120.00 degrees. The asymmetric unit holds Tb at (0.3333, 0.6667, 0.0000), Np at (0.0000, 0.0000, 0.0000) and Si at (0.0000, 0.3323, 0.5000).

The calculation puts the uncorrected formation energy at -0.48 eV/atom.